[1]
A plane-wave DFT calculation with GGA-PBE was carried out for a geometry-optimized AcNd2TmTl2 structure.

Summary:
Formation enthalpy at 0 K in eV per atom: -0.250
Calculated total energy in eV/atom: -4.058
DOS(E_F) in states/eV/cell: 10.1
Total magnetization in μB/atom: 0.320
Symmetry: Pmc2_1, No. 26

a = 4.895 Å, b = 8.564 Å, c = 9.587 Å
α = 90.00°, β = 90.00°, γ = 90.00°
Last column: magnetic moment on the atom in μB.
Positions (direct):
Ac1 0.000 0.983 0.418  0.13
Ac2 0.000 0.483 0.582  0.13
Nd1 0.500 0.033 0.079  0.31
Nd2 0.000 0.367 0.175  0.19
Nd3 0.500 0.533 0.921  0.31
Nd4 0.000 0.867 0.825  0.19
Tm1 0.500 0.148 0.690  0.26
Tm2 0.500 0.648 0.310  0.26
Tl1 0.000 0.240 0.871  -0.01
Tl2 0.500 0.274 0.378  -0.01
Tl3 0.000 0.740 0.129  -0.01
Tl4 0.500 0.774 0.622  -0.01

***

[2]
A plane-wave DFT calculation with GGA-PBE was carried out for a geometry-optimized AcNdTm2Tl4 structure.

Summary:
Formation enthalpy at 0 K in eV per atom: -0.307
Calculated total energy in eV/atom: -3.718
DOS(E_F) in states/eV/cell: 6.5
Total magnetization in μB/atom: 0.000
Symmetry: R-3m, No. 166

a = 5.507 Å, b = 5.507 Å, c = 9.577 Å
α = 73.29°, β = 73.29°, γ = 60.00°
Positions (direct):
Ac1 0.000 0.000 0.000
Nd1 0.500 0.500 0.500
Tm1 0.751 0.751 0.747
Tm2 0.249 0.249 0.253
Tl1 0.378 0.378 0.866
Tl2 0.873 0.873 0.382
Tl3 0.127 0.127 0.618
Tl4 0.622 0.622 0.134

***

[3]
A plane-wave DFT calculation with GGA-PBE was carried out for a geometry-optimized AcNdTlZn structure.

Summary:
Formation enthalpy at 0 K in eV per atom: -0.282
Calculated total energy in eV/atom: -3.411
DOS(E_F) in states/eV/cell: 5.5
Polymorph energy (0 for the lowest one) in eV/f.u.: 0.138
Total magnetization in μB/atom: 0.000
Symmetry: F-43m, No. 216

a = 5.561 Å, b = 5.561 Å, c = 5.561 Å
α = 60.00°, β = 60.00°, γ = 60.00°
Positions (direct):
Zn1 0.000 0.000 0.000
Ac1 0.750 0.750 0.750
Nd1 0.250 0.250 0.250
Tl1 0.500 0.500 0.500

***

[4]
A plane-wave DFT calculation with GGA-PBE was carried out for a geometry-optimized AcNd2Tl2Zn2 structure.

Summary:
Formation enthalpy at 0 K in eV per atom: -0.208
Calculated total energy in eV/atom: -3.197
DOS(E_F) in states/eV/cell: 4.8
Total magnetization in μB/atom: 0.000
Symmetry: R-3m, No. 166

a = 4.868 Å, b = 4.868 Å, c = 10.148 Å
α = 76.12°, β = 76.12°, γ = 60.00°
Positions (direct):
Ac1 0.000 0.000 0.000
Nd1 0.132 0.132 0.604
Nd2 0.868 0.868 0.396
Tl1 0.738 0.738 0.785
Tl2 0.262 0.262 0.215
Zn1 0.578 0.578 0.266
Zn2 0.422 0.422 0.734

***

[5]
A plane-wave DFT calculation with GGA-PBE was carried out for a geometry-optimized AcNdTlZn structure.

Summary:
Formation enthalpy at 0 K in eV per atom: -0.316
Calculated total energy in eV/atom: -3.445
DOS(E_F) in states/eV/cell: 3.4
Polymorph energy (0 for the lowest one) in eV/f.u.: 0.000
Total magnetization in μB/atom: 0.000
Symmetry: P4mm, No. 99

a = 3.876 Å, b = 3.876 Å, c = 7.956 Å
α = 90.00°, β = 90.00°, γ = 90.00°
Positions (direct):
Ac1 0.000 0.000 0.836
Nd1 0.000 0.000 0.379
Tl1 0.500 0.500 0.130
Zn1 0.500 0.500 0.583

***

[6]
A plane-wave DFT calculation with GGA-PBE was carried out for a geometry-optimized Ac2Nd3Tm7 structure.

Summary:
Formation enthalpy at 0 K in eV per atom: 0.128
Calculated total energy in eV/atom: -4.357
DOS(E_F) in states/eV/cell: 18.3
Total magnetization in μB/atom: 0.000
Symmetry: P2/m, No. 10

a = 3.592 Å, b = 6.423 Å, c = 18.179 Å
α = 76.06°, β = 90.00°, γ = 90.00°
Positions (direct):
Ac1 0.500 0.627 0.324
Ac2 0.500 0.373 0.676
Nd1 0.500 0.500 0.000
Nd2 0.000 0.118 0.341
Nd3 0.000 0.882 0.659
Tm1 0.500 0.244 0.499
Tm2 0.500 0.756 0.501
Tm3 0.000 0.564 0.158
Tm4 0.000 0.000 0.000
Tm5 0.000 0.436 0.842
Tm6 0.500 0.933 0.839
Tm7 0.500 0.067 0.161

***

[7]
A plane-wave DFT calculation with GGA-PBE was carried out for a geometry-optimized AcNd10Tm4 structure.

Summary:
Formation enthalpy at 0 K in eV per atom: 0.479
Calculated total energy in eV/atom: -4.166
DOS(E_F) in states/eV/cell: 26.5
Total magnetization in μB/atom: 0.000
Symmetry: I4/m, No. 87

a = 6.952 Å, b = 9.664 Å, c = 9.664 Å
α = 82.57°, β = 68.92°, γ = 68.92°
Positions (direct):
Ac1 0.000 0.000 0.000
Nd1 0.250 0.500 0.500
Nd2 0.626 0.417 0.839
Nd3 0.958 0.161 0.417
Nd4 0.535 0.839 0.583
Nd5 0.882 0.583 0.161
Nd6 0.374 0.583 0.161
Nd7 0.750 0.500 0.500
Nd8 0.118 0.417 0.839
Nd9 0.465 0.161 0.417
Nd10 0.042 0.839 0.583
Tm1 0.432 0.890 0.246
Tm2 0.678 0.754 0.890
Tm3 0.322 0.246 0.110
Tm4 0.568 0.110 0.754

***

[8]
A plane-wave DFT calculation with GGA-PBE was carried out for a geometry-optimized Ac8Nd2Tm3 structure.

Summary:
Formation enthalpy at 0 K in eV per atom: 0.225
Calculated total energy in eV/atom: -4.069
DOS(E_F) in states/eV/cell: 18.5
Total magnetization in μB/atom: 0.000
Symmetry: Cmmm, No. 65

a = 6.094 Å, b = 11.275 Å, c = 11.275 Å
α = 44.19°, β = 89.98°, γ = 89.98°
Positions (direct):
Ac1 0.000 0.325 0.325
Ac2 0.000 0.675 0.675
Ac3 0.000 0.875 0.875
Ac4 0.000 0.125 0.125
Ac5 0.500 0.398 0.808
Ac6 0.500 0.808 0.398
Ac7 0.500 0.192 0.602
Ac8 0.500 0.602 0.192
Nd1 0.500 0.762 0.762
Nd2 0.500 0.238 0.238
Tm1 0.500 0.000 0.000
Tm2 0.000 0.702 0.298
Tm3 0.000 0.298 0.702

***

[9]
A plane-wave DFT calculation with GGA-PBE was carried out for a geometry-optimized AcNd12Tm7 structure.

Summary:
Formation enthalpy at 0 K in eV per atom: 0.647
Calculated total energy in eV/atom: -3.984
DOS(E_F) in states/eV/cell: 26.0
Polymorph energy (0 for the lowest one) in eV/f.u.: 8.523
Total magnetization in μB/atom: 0.000
Symmetry: Im-3, No. 204

a = 10.034 Å, b = 10.034 Å, c = 10.034 Å
α = 109.47°, β = 109.47°, γ = 109.47°
Positions (direct):
Ac1 0.000 0.000 0.000
Nd1 0.472 0.710 0.761
Nd2 0.949 0.710 0.239
Nd3 0.528 0.290 0.239
Nd4 0.051 0.290 0.761
Nd5 0.761 0.051 0.290
Nd6 0.761 0.472 0.710
Nd7 0.239 0.949 0.710
Nd8 0.239 0.528 0.290
Nd9 0.710 0.761 0.472
Nd10 0.290 0.239 0.528
Nd11 0.710 0.239 0.949
Nd12 0.290 0.761 0.051
Tm1 0.500 0.500 0.000
Tm2 0.000 0.500 0.500
Tm3 0.500 0.000 0.500
Tm4 0.500 0.500 0.500
Tm5 0.000 0.000 0.500
Tm6 0.500 0.000 0.000
Tm7 0.000 0.500 0.000

***

[10]
A plane-wave DFT calculation with GGA-PBE was carried out for a geometry-optimized AcNdTm6 structure.

Summary:
Formation enthalpy at 0 K in eV per atom: 0.408
Calculated total energy in eV/atom: -4.055
DOS(E_F) in states/eV/cell: 15.6
Total magnetization in μB/atom: 0.000
Symmetry: C2/m, No. 12

a = 5.980 Å, b = 5.980 Å, c = 8.803 Å
α = 79.67°, β = 79.67°, γ = 70.56°
Positions (direct):
Ac1 0.000 0.000 0.000
Nd1 0.500 0.500 0.500
Tm1 0.477 0.956 0.702
Tm2 0.956 0.477 0.702
Tm3 0.044 0.523 0.298
Tm4 0.523 0.044 0.298
Tm5 0.623 0.623 0.080
Tm6 0.377 0.377 0.920

***

[11]
A plane-wave DFT calculation with GGA-PBE was carried out for a geometry-optimized Ac8Nd3Tm structure.

Summary:
Formation enthalpy at 0 K in eV per atom: 0.587
Calculated total energy in eV/atom: -3.717
DOS(E_F) in states/eV/cell: 20.4
Total magnetization in μB/atom: 0.001
Symmetry: I-42m, No. 121

a = 9.213 Å, b = 9.213 Å, c = 9.213 Å
α = 91.43°, β = 119.18°, γ = 119.18°
Positions (direct):
Ac1 0.495 0.239 0.239
Ac2 0.505 0.744 0.744
Ac3 0.000 0.761 0.256
Ac4 0.000 0.256 0.761
Ac5 0.262 0.375 0.375
Ac6 0.738 0.113 0.113
Ac7 0.000 0.625 0.887
Ac8 0.000 0.887 0.625
Nd1 0.500 0.750 0.250
Nd2 0.500 0.250 0.750
Nd3 0.000 0.500 0.500
Tm1 0.000 0.000 0.000

***

[12]
A plane-wave DFT calculation with GGA-PBE was carried out for a geometry-optimized Ac3Nd3Tm2 structure.

Summary:
Formation enthalpy at 0 K in eV per atom: 0.113
Calculated total energy in eV/atom: -4.334
DOS(E_F) in states/eV/cell: 15.4
Total magnetization in μB/atom: 0.000
Symmetry: Pmmm, No. 47

a = 6.145 Å, b = 6.124 Å, c = 7.934 Å
α = 90.00°, β = 90.00°, γ = 90.00°
Positions (direct):
Ac1 0.000 0.500 0.500
Ac2 0.500 0.000 0.000
Ac3 0.500 0.000 0.500
Nd1 0.500 0.500 0.242
Nd2 0.500 0.500 0.758
Nd3 0.000 0.500 0.000
Tm1 0.000 0.000 0.241
Tm2 0.000 0.000 0.759

***

[13]
A plane-wave DFT calculation with GGA-PBE was carried out for a geometry-optimized AcNd4Tm15 structure.

Summary:
Formation enthalpy at 0 K in eV per atom: 0.038
Calculated total energy in eV/atom: -4.475
DOS(E_F) in states/eV/cell: 30.0
Total magnetization in μB/atom: 0.000
Symmetry: P4/mmm, No. 123

a = 5.033 Å, b = 5.033 Å, c = 25.026 Å
α = 90.00°, β = 90.00°, γ = 90.00°
Positions (direct):
Ac1 0.000 0.000 0.000
Nd1 0.000 0.000 0.202
Nd2 0.000 0.000 0.401
Nd3 0.000 0.000 0.599
Nd4 0.000 0.000 0.798
Tm1 0.500 0.500 0.000
Tm2 0.500 0.500 0.203
Tm3 0.500 0.500 0.401
Tm4 0.500 0.500 0.599
Tm5 0.500 0.500 0.797
Tm6 0.500 0.000 0.104
Tm7 0.500 0.000 0.302
Tm8 0.500 0.000 0.500
Tm9 0.500 0.000 0.698
Tm10 0.500 0.000 0.896
Tm11 0.000 0.500 0.104
Tm12 0.000 0.500 0.302
Tm13 0.000 0.500 0.500
Tm14 0.000 0.500 0.698
Tm15 0.000 0.500 0.896

***

[14]
A plane-wave DFT calculation with GGA-PBE was carried out for a geometry-optimized AcNdTm2 structure.

Summary:
Formation enthalpy at 0 K in eV per atom: 0.051
Calculated total energy in eV/atom: -4.404
DOS(E_F) in states/eV/cell: 6.2
Polymorph energy (0 for the lowest one) in eV/f.u.: 0.000
Total magnetization in μB/atom: 0.000
Symmetry: P4/mmm, No. 123

a = 4.989 Å, b = 5.268 Å, c = 5.268 Å
α = 90.00°, β = 90.00°, γ = 90.00°
Positions (direct):
Ac1 0.500 0.500 0.500
Tm1 0.000 0.000 0.500
Tm2 0.000 0.500 0.000
Nd1 0.500 0.000 0.000

***

[15]
A plane-wave DFT calculation with GGA-PBE was carried out for a geometry-optimized Ac12Nd3Tm structure.

Summary:
Formation enthalpy at 0 K in eV per atom: 0.028
Calculated total energy in eV/atom: -4.227
DOS(E_F) in states/eV/cell: 26.2
Total magnetization in μB/atom: 0.000
Symmetry: P4/mmm, No. 123

a = 5.521 Å, b = 5.521 Å, c = 22.050 Å
α = 90.00°, β = 90.00°, γ = 90.00°
Positions (direct):
Ac1 0.500 0.500 0.000
Ac2 0.500 0.500 0.249
Ac3 0.500 0.500 0.500
Ac4 0.500 0.500 0.751
Ac5 0.500 0.000 0.123
Ac6 0.500 0.000 0.374
Ac7 0.500 0.000 0.626
Ac8 0.500 0.000 0.877
Ac9 0.000 0.500 0.123
Ac10 0.000 0.500 0.374
Ac11 0.000 0.500 0.626
Ac12 0.000 0.500 0.877
Nd1 0.000 0.000 0.249
Nd2 0.000 0.000 0.500
Nd3 0.000 0.000 0.751
Tm1 0.000 0.000 0.000

***

[16]
A plane-wave DFT calculation with GGA-PBE was carried out for a geometry-optimized Ac2Nd2Tm3 structure.

Summary:
Formation enthalpy at 0 K in eV per atom: 0.055
Calculated total energy in eV/atom: -4.398
DOS(E_F) in states/eV/cell: 10.2
Total magnetization in μB/atom: 0.000
Symmetry: P-1, No. 2

a = 6.384 Å, b = 9.773 Å, c = 6.396 Å
α = 40.01°, β = 99.39°, γ = 89.91°
Positions (direct):
Ac1 0.431 0.151 0.565
Ac2 0.569 0.849 0.435
Nd1 0.139 0.716 0.858
Nd2 0.861 0.284 0.142
Tm1 0.000 0.000 0.000
Tm2 0.274 0.433 0.704
Tm3 0.726 0.567 0.296

***

[17]
A plane-wave DFT calculation with GGA-PBE was carried out for a geometry-optimized AcNd2Tm7 structure.

Summary:
Formation enthalpy at 0 K in eV per atom: 0.326
Calculated total energy in eV/atom: -4.168
DOS(E_F) in states/eV/cell: 15.9
Total magnetization in μB/atom: 0.000
Symmetry: Immm, No. 71

a = 3.684 Å, b = 10.401 Å, c = 10.401 Å
α = 109.37°, β = 79.80°, γ = 79.80°
Positions (direct):
Ac1 0.000 0.000 0.000
Nd1 0.500 0.816 0.184
Nd2 0.500 0.184 0.816
Tm1 0.000 0.658 0.342
Tm2 0.000 0.342 0.658
Tm3 0.744 0.095 0.415
Tm4 0.256 0.905 0.585
Tm5 0.744 0.415 0.095
Tm6 0.256 0.585 0.905
Tm7 0.500 0.500 0.500

***

[18]
A plane-wave DFT calculation with GGA-PBE was carried out for a geometry-optimized Ac7Nd12Tm structure.

Summary:
Formation enthalpy at 0 K in eV per atom: 0.813
Calculated total energy in eV/atom: -3.709
DOS(E_F) in states/eV/cell: 31.0
Total magnetization in μB/atom: 0.000
Symmetry: Im-3, No. 204

a = 10.547 Å, b = 10.547 Å, c = 10.547 Å
α = 109.47°, β = 109.47°, γ = 109.47°
Positions (direct):
Ac1 0.500 0.500 0.000
Ac2 0.000 0.500 0.500
Ac3 0.500 0.000 0.500
Ac4 0.500 0.500 0.500
Ac5 0.000 0.000 0.500
Ac6 0.500 0.000 0.000
Ac7 0.000 0.500 0.000
Nd1 0.433 0.676 0.757
Nd2 0.919 0.676 0.243
Nd3 0.567 0.324 0.243
Nd4 0.081 0.324 0.757
Nd5 0.757 0.081 0.324
Nd6 0.757 0.433 0.676
Nd7 0.243 0.919 0.676
Nd8 0.243 0.567 0.324
Nd9 0.676 0.757 0.433
Nd10 0.324 0.243 0.567
Nd11 0.676 0.243 0.919
Nd12 0.324 0.757 0.081
Tm1 0.000 0.000 0.000

***

[19]
A plane-wave DFT calculation with GGA-PBE was carried out for a geometry-optimized AcNd4Tm5 structure.

Summary:
Formation enthalpy at 0 K in eV per atom: 0.035
Calculated total energy in eV/atom: -4.518
DOS(E_F) in states/eV/cell: 14.7
Total magnetization in μB/atom: 0.000
Symmetry: P4/mmm, No. 123

a = 3.653 Å, b = 3.653 Å, c = 25.020 Å
α = 90.00°, β = 90.00°, γ = 90.00°
Positions (direct):
Ac1 0.000 0.000 0.000
Nd1 0.000 0.000 0.204
Nd2 0.000 0.000 0.401
Nd3 0.000 0.000 0.599
Nd4 0.000 0.000 0.796
Tm1 0.500 0.500 0.107
Tm2 0.500 0.500 0.303
Tm3 0.500 0.500 0.500
Tm4 0.500 0.500 0.697
Tm5 0.500 0.500 0.893

***

[20]
A plane-wave DFT calculation with GGA-PBE was carried out for a geometry-optimized Ac12Nd7Tm structure.

Summary:
Formation enthalpy at 0 K in eV per atom: 0.179
Calculated total energy in eV/atom: -4.179
DOS(E_F) in states/eV/cell: 27.4
Total magnetization in μB/atom: 0.000
Symmetry: R-3m, No. 166

a = 6.699 Å, b = 12.243 Å, c = 12.243 Å
α = 116.75°, β = 100.51°, γ = 100.51°
Positions (direct):
Ac1 0.087 0.588 0.175
Ac2 0.088 0.175 0.588
Ac3 0.569 0.654 0.000
Ac4 0.431 0.000 0.346
Ac5 0.500 0.412 0.588
Ac6 0.085 0.654 0.654
Ac7 0.915 0.346 0.346
Ac8 0.500 0.588 0.412
Ac9 0.569 0.000 0.654
Ac10 0.431 0.346 0.000
Ac11 0.912 0.825 0.412
Ac12 0.913 0.412 0.825
Nd1 0.108 0.757 0.000
Nd2 0.892 0.000 0.243
Nd3 0.649 0.757 0.757
Nd4 0.500 0.000 0.000
Nd5 0.351 0.243 0.243
Nd6 0.108 0.000 0.757
Nd7 0.892 0.243 0.000
Tm1 0.000 0.000 0.000

***

Which density belongs to each record? In order, 9.03; 10.69; 8.75; 8.75; 8.91; 8.44; 6.89; 8.03; 6.71; 7.94; 7.17; 8.07; 8.74; 8.51; 8.22; 8.36; 7.88; 6.42; 8.20; 7.71 g/cm3.